# Ti7ZnGa3, relaxed, DFT PBE-GGA
data_Ti7ZnGa3
_space_group_name_H-M_alt 'C 1 2/m 1'
_space_group_IT_number 12
_space_group_name_Hall '-C 2y'
_cell_length_a 9.6804
_cell_length_b 9.4107
_cell_length_c 4.7516
_cell_angle_alpha 90.00
_cell_angle_beta 118.83
_cell_angle_gamma 90.00
loop_
_atom_site_label
_atom_site_type_symbol
_atom_site_fract_x
_atom_site_fract_y
_atom_site_fract_z
Ti1 Ti 0.0000 0.0000 0.0000
Ti2 Ti 0.1897 0.2807 0.6905
Ti3 Ti 0.1919 0.5000 0.1799
Zn1 Zn 0.0000 0.0000 0.5000
Ga1 Ga 0.0000 0.2746 0.0000
Ga2 Ga 0.0000 0.5000 0.5000
# D(E_F), states/eV/cell: 24.57
# Total energy, eV per cell: -132.009

***

# MgTaH, relaxed, DFT PBE-GGA
data_MgTaH
_space_group_name_H-M_alt 'P m n 21'
_space_group_IT_number 31
_space_group_name_Hall 'P 2ac -2'
_cell_length_a 3.0757
_cell_length_b 5.1974
_cell_length_c 5.2873
_cell_angle_alpha 90.00
_cell_angle_beta 90.00
_cell_angle_gamma 90.00
loop_
_atom_site_label
_atom_site_type_symbol
_atom_site_fract_x
_atom_site_fract_y
_atom_site_fract_z
Mg1 Mg 0.0000 0.0211 0.0000
Ta1 Ta 0.0000 0.5026 0.3336
H1 H 0.0000 0.6369 0.9993
# D(E_F), states/eV/cell: 1.22
# Total energy, eV per cell: -33.112

***

# Sm3Ho13, relaxed, DFT PBE-GGA
data_Sm3Ho13
_space_group_name_H-M_alt 'A m m 2'
_space_group_IT_number 38
_space_group_name_Hall 'A 2 -2'
_cell_length_a 7.2494
_cell_length_b 11.2562
_cell_length_c 12.5265
_cell_angle_alpha 90.00
_cell_angle_beta 90.00
_cell_angle_gamma 90.00
loop_
_atom_site_label
_atom_site_type_symbol
_atom_site_fract_x
_atom_site_fract_y
_atom_site_fract_z
Sm1 Sm 0.0000 0.0000 0.0000
Sm2 Sm 0.2511 0.0000 0.7476
Ho1 Ho 0.0000 0.0000 0.4975
Ho2 Ho 0.0000 0.2490 0.1657
Ho3 Ho 0.2502 0.0000 0.2494
Ho4 Ho 0.2508 0.2481 0.4157
Ho5 Ho 0.5000 0.0000 0.9999
Ho6 Ho 0.5000 0.0000 0.4975
Ho7 Ho 0.5000 0.2478 0.1657
# D(E_F), states/eV/cell: 56.66
# Total energy, eV per cell: -147.012

***

# VGaSb, relaxed, DFT PBE-GGA
data_VGaSb
_space_group_name_H-M_alt 'I 4/m m m'
_space_group_IT_number 139
_space_group_name_Hall '-I 4 2'
_cell_length_a 3.3611
_cell_length_b 3.3611
_cell_length_c 20.2268
_cell_angle_alpha 90.00
_cell_angle_beta 90.00
_cell_angle_gamma 90.00
loop_
_atom_site_label
_atom_site_type_symbol
_atom_site_fract_x
_atom_site_fract_y
_atom_site_fract_z
V1 V 0.0000 0.0000 0.1420
Ga1 Ga 0.0000 0.0000 0.2826
Sb1 Sb 0.0000 0.0000 0.4253
# D(E_F), states/eV/cell: 9.65
# Total energy, eV per cell: -64.414

***

# PrScO2, relaxed, DFT PBE-GGA
data_PrScO2
_space_group_name_H-M_alt 'C m c m'
_space_group_IT_number 63
_space_group_name_Hall '-C 2c 2'
_cell_length_a 5.7481
_cell_length_b 8.8687
_cell_length_c 5.0542
_cell_angle_alpha 90.00
_cell_angle_beta 90.00
_cell_angle_gamma 90.00
loop_
_atom_site_label
_atom_site_type_symbol
_atom_site_fract_x
_atom_site_fract_y
_atom_site_fract_z
Pr1 Pr 0.0000 0.1476 0.2500
Sc1 Sc 0.0000 0.5000 0.0000
O1 O 0.2471 0.0936 0.7500
# D(E_F), states/eV/cell: 3.86
# Total energy, eV per cell: -122.965

***

# K6Rb9Hg, relaxed, DFT PBE-GGA
data_K6Rb9Hg
_space_group_name_H-M_alt 'I 4/m'
_space_group_IT_number 87
_space_group_name_Hall '-I 4'
_cell_length_a 11.3973
_cell_length_b 11.3973
_cell_length_c 19.3243
_cell_angle_alpha 90.00
_cell_angle_beta 90.00
_cell_angle_gamma 90.00
loop_
_atom_site_label
_atom_site_type_symbol
_atom_site_fract_x
_atom_site_fract_y
_atom_site_fract_z
K1 K 0.0000 0.0000 0.1810
K2 K 0.0984 0.2943 0.0000
Rb1 Rb 0.0000 0.0000 0.5000
Rb2 Rb 0.1117 0.3085 0.3401
Hg1 Hg 0.0000 0.0000 0.0000
# D(E_F), states/eV/cell: 26.46
# Total energy, eV per cell: -31.794

***

# Ba3Sn2Pd4, relaxed, DFT PBE-GGA
data_Ba3Sn2Pd4
_space_group_name_H-M_alt 'C 1 2/m 1'
_space_group_IT_number 12
_space_group_name_Hall '-C 2y'
_cell_length_a 12.6566
_cell_length_b 4.6419
_cell_length_c 9.6402
_cell_angle_alpha 90.00
_cell_angle_beta 110.63
_cell_angle_gamma 90.00
loop_
_atom_site_label
_atom_site_type_symbol
_atom_site_fract_x
_atom_site_fract_y
_atom_site_fract_z
Ba1 Ba 0.0000 0.0000 0.0000
Ba2 Ba 0.1289 0.5000 0.6960
Sn1 Sn 0.1486 0.5000 0.2956
Pd1 Pd 0.1729 0.0000 0.4423
Pd2 Pd 0.2244 0.5000 0.0651
# D(E_F), states/eV/cell: 10.67
# Total energy, eV per cell: -80.492

***

# LiLa2TaPb, relaxed, DFT PBE-GGA
data_LiLa2TaPb
_space_group_name_H-M_alt 'P 4/m m m'
_space_group_IT_number 123
_space_group_name_Hall '-P 4 2'
_cell_length_a 5.3173
_cell_length_b 5.3173
_cell_length_c 4.7892
_cell_angle_alpha 90.00
_cell_angle_beta 90.00
_cell_angle_gamma 90.00
loop_
_atom_site_label
_atom_site_type_symbol
_atom_site_fract_x
_atom_site_fract_y
_atom_site_fract_z
Li1 Li 0.0000 0.0000 0.0000
La1 La 0.0000 0.5000 0.0000
Ta1 Ta 0.0000 0.0000 0.5000
Pb1 Pb 0.5000 0.5000 0.5000
# D(E_F), states/eV/cell: 7.96
# Total energy, eV per cell: -24.407

***

# ZnCd6Ag12, relaxed, DFT PBE-GGA
data_ZnCd6Ag12
_space_group_name_H-M_alt 'R -3'
_space_group_IT_number 148
_space_group_name_Hall '-R 3'
_cell_length_a 11.4102
_cell_length_b 11.4102
_cell_length_c 9.8160
_cell_angle_alpha 90.00
_cell_angle_beta 90.00
_cell_angle_gamma 120.00
loop_
_atom_site_label
_atom_site_type_symbol
_atom_site_fract_x
_atom_site_fract_y
_atom_site_fract_z
Zn1 Zn 0.0000 0.0000 0.0000
Cd1 Cd 0.0860 0.9131 0.7473
Ag1 Ag 0.9997 0.2562 0.9998
Ag2 Ag 0.0633 0.5323 0.1231
# D(E_F), states/eV/cell: 17.50
# Total energy, eV per cell: -121.906

***

# Er4PtPb, relaxed, DFT PBE-GGA
data_Er4PtPb
_space_group_name_H-M_alt 'P 1 21/m 1'
_space_group_IT_number 11
_space_group_name_Hall '-P 2yb'
_cell_length_a 6.0954
_cell_length_b 6.7005
_cell_length_c 8.6332
_cell_angle_alpha 90.00
_cell_angle_beta 110.47
_cell_angle_gamma 90.00
loop_
_atom_site_label
_atom_site_type_symbol
_atom_site_fract_x
_atom_site_fract_y
_atom_site_fract_z
Er1 Er 0.0137 0.0012 0.2159
Er2 Er 0.3968 0.2500 0.6280
Er3 Er 0.4200 0.2500 0.0836
Pt1 Pt 0.2487 0.7500 0.0617
Pb1 Pb 0.2269 0.7500 0.5546
# D(E_F), states/eV/cell: 11.23
# Total energy, eV per cell: -63.815

***

# Pr2SmPu, relaxed, DFT PBE-GGA
data_Pr2SmPu
_space_group_name_H-M_alt 'P 4/m m m'
_space_group_IT_number 123
_space_group_name_Hall '-P 4 2'
_cell_length_a 3.6012
_cell_length_b 3.6012
_cell_length_c 10.3350
_cell_angle_alpha 90.00
_cell_angle_beta 90.00
_cell_angle_gamma 90.00
loop_
_atom_site_label
_atom_site_type_symbol
_atom_site_fract_x
_atom_site_fract_y
_atom_site_fract_z
Pr1 Pr 0.0000 0.0000 0.2426
Sm1 Sm 0.5000 0.5000 0.5000
Pu1 Pu 0.5000 0.5000 0.0000
# D(E_F), states/eV/cell: 9.35
# Total energy, eV per cell: -28.127

***

# La6Tl3Bi, relaxed, DFT PBE-GGA
data_La6Tl3Bi
_space_group_name_H-M_alt 'P 1 21/c 1'
_space_group_IT_number 14
_space_group_name_Hall '-P 2ybc'
_cell_length_a 8.2603
_cell_length_b 8.7511
_cell_length_c 12.7475
_cell_angle_alpha 90.00
_cell_angle_beta 127.94
_cell_angle_gamma 90.00
loop_
_atom_site_label
_atom_site_type_symbol
_atom_site_fract_x
_atom_site_fract_y
_atom_site_fract_z
La1 La 0.0235 0.0989 0.2549
La2 La 0.2257 0.6703 0.0689
La3 La 0.4038 0.1698 0.0714
Tl1 Tl 0.3099 0.1322 0.7593
Tl2 Tl 0.5000 0.0000 0.5000
Bi1 Bi 0.0000 0.0000 0.0000
# D(E_F), states/eV/cell: 19.69
# Total energy, eV per cell: -87.438

***

# KAg2Au, relaxed, DFT PBE-GGA
data_KAg2Au
_space_group_name_H-M_alt 'I -4 m 2'
_space_group_IT_number 119
_space_group_name_Hall 'I -4 -2'
_cell_length_a 4.4304
_cell_length_b 4.4304
_cell_length_c 9.1193
_cell_angle_alpha 90.00
_cell_angle_beta 90.00
_cell_angle_gamma 90.00
loop_
_atom_site_label
_atom_site_type_symbol
_atom_site_fract_x
_atom_site_fract_y
_atom_site_fract_z
K1 K 0.0000 0.0000 0.0000
Ag1 Ag 0.0000 0.0000 0.5000
Ag2 Ag 0.0000 0.5000 0.7500
Au1 Au 0.0000 0.5000 0.2500
# D(E_F), states/eV/cell: 2.55
# Total energy, eV per cell: -18.920

***

# Nd2NpSi, relaxed, DFT PBE-GGA
data_Nd2NpSi
_space_group_name_H-M_alt 'R -3 m'
_space_group_IT_number 166
_space_group_name_Hall '-R 3 2"'
_cell_length_a 3.5289
_cell_length_b 3.5289
_cell_length_c 32.8810
_cell_angle_alpha 90.00
_cell_angle_beta 90.00
_cell_angle_gamma 120.00
loop_
_atom_site_label
_atom_site_type_symbol
_atom_site_fract_x
_atom_site_fract_y
_atom_site_fract_z
Nd1 Nd 0.0000 0.0000 0.1021
Np1 Np 0.0000 0.0000 0.0000
Si1 Si 0.0000 0.0000 0.5000
# D(E_F), states/eV/cell: 29.66
# Total energy, eV per cell: -78.915

***

# KNaSnHg, relaxed, DFT PBE-GGA
data_KNaSnHg
_space_group_name_H-M_alt 'F -4 3 m'
_space_group_IT_number 216
_space_group_name_Hall 'F -4 2 3'
_cell_length_a 7.6918
_cell_length_b 7.6918
_cell_length_c 7.6918
_cell_angle_alpha 90.00
_cell_angle_beta 90.00
_cell_angle_gamma 90.00
loop_
_atom_site_label
_atom_site_type_symbol
_atom_site_fract_x
_atom_site_fract_y
_atom_site_fract_z
K1 K 0.0000 0.0000 0.0000
Na1 Na 0.2500 0.2500 0.7500
Sn1 Sn 0.0000 0.0000 0.5000
Hg1 Hg 0.2500 0.2500 0.2500
# D(E_F), states/eV/cell: 4.44
# Total energy, eV per cell: -29.574

***

# DyBeAl, relaxed, DFT PBE-GGA
data_DyBeAl
_space_group_name_H-M_alt 'P -6 m 2'
_space_group_IT_number 187
_space_group_name_Hall 'P -6 2'
_cell_length_a 4.2798
_cell_length_b 4.2798
_cell_length_c 3.5862
_cell_angle_alpha 90.00
_cell_angle_beta 90.00
_cell_angle_gamma 120.00
loop_
_atom_site_label
_atom_site_type_symbol
_atom_site_fract_x
_atom_site_fract_y
_atom_site_fract_z
Dy1 Dy 0.0000 0.0000 0.0000
Be1 Be 0.3333 0.6667 0.5000
Al1 Al 0.6667 0.3333 0.5000
# D(E_F), states/eV/cell: 1.49
# Total energy, eV per cell: -12.838

***

# ZnFeGeIr, relaxed, DFT PBE-GGA
data_ZnFeGeIr
_space_group_name_H-M_alt 'F -4 3 m'
_space_group_IT_number 216
_space_group_name_Hall 'F -4 2 3'
_cell_length_a 5.9444
_cell_length_b 5.9444
_cell_length_c 5.9444
_cell_angle_alpha 90.00
_cell_angle_beta 90.00
_cell_angle_gamma 90.00
loop_
_atom_site_label
_atom_site_type_symbol
_atom_site_fract_x
_atom_site_fract_y
_atom_site_fract_z
Zn1 Zn 0.0000 0.0000 0.0000
Fe1 Fe 0.2500 0.2500 0.2500
Ge1 Ge 0.0000 0.0000 0.5000
Ir1 Ir 0.2500 0.2500 0.7500
# D(E_F), states/eV/cell: 10.30
# Total energy, eV per cell: -93.929

***

# AcPaAs, relaxed, DFT PBE-GGA
data_AcPaAs
_space_group_name_H-M_alt 'I 4 m m'
_space_group_IT_number 107
_space_group_name_Hall 'I 4 -2'
_cell_length_a 3.7751
_cell_length_b 3.7751
_cell_length_c 12.3425
_cell_angle_alpha 90.00
_cell_angle_beta 90.00
_cell_angle_gamma 90.00
loop_
_atom_site_label
_atom_site_type_symbol
_atom_site_fract_x
_atom_site_fract_y
_atom_site_fract_z
Ac1 Ac 0.0000 0.0000 0.0000
Pa1 Pa 0.0000 0.0000 0.2768
As1 As 0.0000 0.0000 0.6741
# D(E_F), states/eV/cell: 10.75
# Total energy, eV per cell: -38.768

***

# RbBe2Ga2O6, relaxed, DFT PBE-GGA
data_RbBe2Ga2O6
_space_group_name_H-M_alt 'P -1'
_space_group_IT_number 2
_space_group_name_Hall '-P 1'
_cell_length_a 5.5460
_cell_length_b 5.5969
_cell_length_c 5.6218
_cell_angle_alpha 84.48
_cell_angle_beta 62.80
_cell_angle_gamma 65.68
loop_
_atom_site_label
_atom_site_type_symbol
_atom_site_fract_x
_atom_site_fract_y
_atom_site_fract_z
Rb1 Rb 0.0000 0.0000 0.0000
Be1 Be 0.1202 0.2968 0.2908
Ga1 Ga 0.4561 0.2670 0.6150
O1 O 0.2225 0.6232 0.5443
O2 O 0.2377 0.3606 0.9944
O3 O 0.3364 0.1173 0.3987
# Total energy, eV per cell: -64.403

***

# CdIr3Br, relaxed, DFT PBE-GGA
data_CdIr3Br
_space_group_name_H-M_alt 'P m -3 m'
_space_group_IT_number 221
_space_group_name_Hall '-P 4 2 3'
_cell_length_a 4.9904
_cell_length_b 4.9904
_cell_length_c 4.9904
_cell_angle_alpha 90.00
_cell_angle_beta 90.00
_cell_angle_gamma 90.00
loop_
_atom_site_label
_atom_site_type_symbol
_atom_site_fract_x
_atom_site_fract_y
_atom_site_fract_z
Cd1 Cd 0.0000 0.0000 0.0000
Ir1 Ir 0.0000 0.0000 0.5000
Br1 Br 0.5000 0.5000 0.5000
# D(E_F), states/eV/cell: 11.33
# Total energy, eV per cell: -16.928

***

Values for density, g cm⁻³, ordered as above
5.34; 8.10; 8.43; 7.05; 5.62; 1.59; 6.74; 8.25; 9.16; 10.77; 8.38; 7.57; 8.38; 7.78; 5.57; 5.79; 12.21; 10.06; 4.01; 10.27